# 1
This record from the Alexandria database describes a geometry-optimized SrMn2SO2 structure. The functional is PBE+U.

a = 5.557 Å, b = 5.882 Å, c = 7.001 Å
α = 90.00°, β = 97.03°, γ = 90.00°
Space group P2_1/m (No. 11)
Asymmetric unit:
1 Sr 0.180 0.250 0.132 (multiplicity 2)
2 Mn 0.280 0.514 0.607 (multiplicity 4)
3 S 0.061 0.750 0.292 (multiplicity 2)
4 O 0.245 0.750 0.817 (multiplicity 2)
5 O 0.410 0.250 0.453 (multiplicity 2)



# 2
This record from the Alexandria database describes a geometry-optimized Sr2MnSO3 structure. The functional is PBE+U.

a = 4.012 Å, b = 4.012 Å, c = 13.655 Å
α = 90.00°, β = 90.00°, γ = 90.00°
Space group P4/nmm (No. 129, origin choice 2)
Asymmetric unit:
1 Sr 0.250 0.250 0.099 (multiplicity 2)
2 Sr 0.250 0.250 0.360 (multiplicity 2)
3 Mn 0.250 0.250 0.778 (multiplicity 2)
4 S 0.250 0.250 0.590 (multiplicity 2)
5 O 0.250 0.250 0.918 (multiplicity 2)
6 O 0.250 0.750 0.228 (multiplicity 4)



# 3
This record from the Alexandria database describes a geometry-optimized TaMnSO2 structure. The functional is PBE+U.

a = 3.722 Å, b = 3.722 Å, c = 4.924 Å
α = 90.00°, β = 90.00°, γ = 90.00°
Space group P4/mmm (No. 123)
Asymmetric unit:
1 Ta 0.000 0.000 0.000 (multiplicity 1)
2 Mn 0.500 0.500 0.500 (multiplicity 1)
3 S 0.500 0.500 0.000 (multiplicity 1)
4 O 0.000 0.500 0.500 (multiplicity 2)



# 4
This record from the Alexandria database describes a geometry-optimized Tb2MnS2O2 structure. The functional is PBE+U.

a = 11.465 Å, b = 3.745 Å, c = 6.686 Å
α = 90.00°, β = 121.67°, γ = 90.00°
Space group C2/m (No. 12)
Asymmetric unit:
1 Tb 0.193 0.000 0.236 (multiplicity 4)
2 Mn 0.000 0.000 0.500 (multiplicity 2)
3 S 0.069 0.500 0.833 (multiplicity 4)
4 O 0.200 0.000 0.583 (multiplicity 4)



# 5
This record from the Alexandria database describes a geometry-optimized Mn2Sb2O7 structure. The functional is PBE+U.

a = 3.865 Å, b = 26.497 Å, c = 5.495 Å
α = 90.00°, β = 90.00°, γ = 90.00°
Space group Cmc2_1 (No. 36)
Asymmetric unit:
1 Mn 0.000 0.055 0.000 (multiplicity 4)
2 Mn 0.000 0.223 0.504 (multiplicity 4)
3 Sb 0.000 0.343 0.480 (multiplicity 4)
4 Sb 0.000 0.447 0.992 (multiplicity 4)
5 O 0.000 0.037 0.467 (multiplicity 4)
6 O 0.000 0.138 0.987 (multiplicity 4)
7 O 0.000 0.286 0.253 (multiplicity 4)
8 O 0.000 0.297 0.755 (multiplicity 4)
9 O 0.000 0.384 0.164 (multiplicity 4)
10 O 0.000 0.415 0.667 (multiplicity 4)
11 O 0.000 0.482 0.320 (multiplicity 4)



# 6
This record from the Alexandria database describes a geometry-optimized Mn6SbO12 structure. The functional is PBE+U.

a = 9.1461 Å, b = 9.1461 Å, c = 8.4896 Å
α = 90.00°, β = 90.00°, γ = 120.00°
Space group R-3 (No. 148, hexagonal axes)
Asymmetric unit:
1 Mn 0.0333 0.7812 0.1474 (multiplicity 18)
2 Sb 0.0000 0.0000 0.5000 (multiplicity 3)
3 O 0.0113 0.8220 0.3746 (multiplicity 18)
4 O 0.0124 0.7989 0.8914 (multiplicity 18)



# 7
This record from the Alexandria database describes a geometry-optimized Mn5SbO12 structure. The functional is PBE+U.

a = 5.168 Å, b = 9.078 Å, c = 10.138 Å
α = 90.00°, β = 90.49°, γ = 90.00°
Space group C2/m (No. 12)
Asymmetric unit:
1 Mn 0.000 0.000 0.000 (multiplicity 2)
2 Mn 0.000 0.166 0.500 (multiplicity 4)
3 Mn 0.000 0.333 0.000 (multiplicity 4)
4 Sb 0.000 0.500 0.500 (multiplicity 2)
5 O 0.164 0.000 0.399 (multiplicity 4)
6 O 0.168 0.167 0.092 (multiplicity 8)
7 O 0.168 0.500 0.092 (multiplicity 4)
8 O 0.174 0.334 0.402 (multiplicity 8)



# 8
This record from the Alexandria database describes a geometry-optimized MnSb4O12 structure. The functional is PBE+U.

a = 5.082 Å, b = 5.503 Å, c = 7.549 Å
α = 95.33°, β = 90.78°, γ = 90.85°
Space group P1 (No. 1)
Asymmetric unit:
1 Mn 0.000 0.000 0.000 (multiplicity 1)
2 Sb 0.001 0.387 0.320 (multiplicity 1)
3 Sb 0.495 0.858 0.785 (multiplicity 1)
4 Sb 0.508 0.864 0.310 (multiplicity 1)
5 Sb 0.987 0.393 0.789 (multiplicity 1)
6 O 0.154 0.380 0.562 (multiplicity 1)
7 O 0.171 0.704 0.890 (multiplicity 1)
8 O 0.176 0.051 0.225 (multiplicity 1)
9 O 0.285 0.160 0.885 (multiplicity 1)
10 O 0.313 0.557 0.232 (multiplicity 1)
11 O 0.355 0.888 0.551 (multiplicity 1)
12 O 0.651 0.534 0.736 (multiplicity 1)
13 O 0.660 0.858 0.044 (multiplicity 1)
14 O 0.688 0.184 0.370 (multiplicity 1)
15 O 0.823 0.694 0.375 (multiplicity 1)
16 O 0.836 0.040 0.767 (multiplicity 1)
17 O 0.884 0.325 0.047 (multiplicity 1)



no.,magnetization (μB/atom),final energy (eV/atom)
1,1.667,-6.67
2,0.449,-6.30
3,1.063,-7.06
4,0.714,-7.39
5,0.909,-6.64
6,1.211,-7.17
7,0.889,-6.91
8,0.174,-6.14